1.
This record from Alexandria describes a geometry-optimized Tm3ReO7 structure. The functional is PBE.

Calculated values
Formation energy without anion corrections   -32.6 eV per formula unit

Unit cell a=7.468 b=10.398 c=7.326 alpha=90.00 beta=90.00 gamma=90.00
Space group C222_1 (No. 20)
Symmetry-distinct sites (fractional):
Tm1 0.037 0.000 0.000
Tm2 0.232 0.267 0.757
Re1 0.001 0.500 0.000
O1 0.000 0.131 0.250
O2 0.000 0.138 0.750
O3 0.000 0.424 0.750
O4 0.182 0.370 0.039
O5 0.206 0.377 0.475

---

2.
This record from Alexandria describes a geometry-optimized YRe2Cl structure. The functional is PBE.

Calculated values
Formation energy without anion corrections   3.7 eV per formula unit
Energy above the most stable polymorph in this dataset   1124.2 meV/atom

Unit cell a=4.828 b=4.828 c=15.701 alpha=90.00 beta=90.00 gamma=90.00
Space group I-42d (No. 122)
Symmetry-distinct sites (fractional):
Y1 0.000 0.000 0.000
Re1 0.056 0.250 0.625
Cl1 0.000 0.000 0.500

---

3.
This record from Alexandria describes a geometry-optimized Ba2ScRh2 structure. The functional is PBE.

Calculated values
ΔH_f (0 K)   -0.142 eV/atom

Unit cell a=7.257 b=7.257 c=5.131 alpha=90.00 beta=90.00 gamma=90.00
Space group P4/mbm (No. 127)
Symmetry-distinct sites (fractional):
Ba1 0.176 0.324 0.000
Sc1 0.000 0.000 0.500
Rh1 0.129 0.629 0.500

---

4.
This record from Alexandria describes a geometry-optimized FeCo structure. The functional is PBE.

Calculated values
ΔH_f (0 K)   0.018 eV/atom

Unit cell a=2.829 b=4.030 c=8.013 alpha=90.00 beta=90.00 gamma=90.00
Space group Cmme (No. 67)
Symmetry-distinct sites (fractional):
Fe1 0.000 0.250 0.127
Co1 0.000 0.250 0.625

---

5.
This record from Alexandria describes a geometry-optimized Y2PuSb3 structure. The functional is PBE.

Calculated values
Formation energy without anion corrections   -5.8 eV per formula unit
Energy above the most stable polymorph in this dataset   2.1 meV/atom

Unit cell a=6.230 b=18.679 c=6.220 alpha=90.00 beta=90.00 gamma=90.00
Space group Cmmm (No. 65)
Symmetry-distinct sites (fractional):
Y1 0.000 0.000 0.000
Y2 0.000 0.166 0.500
Y3 0.000 0.500 0.500
Pu1 0.000 0.333 0.000
Sb1 0.000 0.000 0.500
Sb2 0.000 0.167 0.000
Sb3 0.000 0.334 0.500
Sb4 0.000 0.500 0.000

---

6.
This record from Alexandria describes a geometry-optimized Mg2Ti2W structure. The functional is PBE.

Calculated values
ΔH_f (0 K)   0.644 eV/atom
Energy above the most stable polymorph in this dataset   0.0 meV/atom

Unit cell a=3.530 b=3.530 c=15.448 alpha=90.00 beta=90.00 gamma=90.00
Space group I4/mmm (No. 139)
Symmetry-distinct sites (fractional):
Mg1 0.000 0.500 0.250
Ti1 0.000 0.000 0.085
W1 0.000 0.000 0.500

---

7.
This record from Alexandria describes a geometry-optimized Li4NdMg5 structure. The functional is PBE.

Calculated values
ΔH_f (0 K)   -0.055 eV/atom

Unit cell a=3.499 b=3.499 c=18.099 alpha=90.00 beta=90.00 gamma=90.00
Space group P4/mmm (No. 123)
Symmetry-distinct sites (fractional):
Li1 0.000 0.000 0.091
Li2 0.000 0.000 0.276
Nd1 0.000 0.000 0.500
Mg1 0.500 0.500 0.000
Mg2 0.500 0.500 0.182
Mg3 0.500 0.500 0.367

---

8.
This record from Alexandria describes a geometry-optimized LiBeHg2S structure. The functional is PBE.

Calculated values
Formation energy without anion corrections   2.4 eV per formula unit

Unit cell a=5.156 b=5.156 c=4.264 alpha=90.00 beta=90.00 gamma=90.00
Space group P4/mmm (No. 123)
Symmetry-distinct sites (fractional):
Li1 0.000 0.000 0.000
Be1 0.500 0.500 0.500
Hg1 0.000 0.500 0.000
S1 0.000 0.000 0.500

---

9.
This record from Alexandria describes a geometry-optimized ZrCd2Te structure. The functional is PBE.

Calculated values
Formation energy without anion corrections   -0.4 eV per formula unit

Unit cell a=3.064 b=5.321 c=5.894 alpha=90.00 beta=93.08 gamma=90.00
Space group Pm (No. 6)
Symmetry-distinct sites (fractional):
Zr1 0.000 0.000 0.000
Cd1 0.465 0.500 0.757
Cd2 0.514 0.000 0.506
Te1 0.107 0.500 0.228

---

10.
This record from Alexandria describes a geometry-optimized Dy5Tl structure. The functional is PBE.

Calculated values
ΔH_f (0 K)   -0.015 eV/atom
Energy above the most stable polymorph in this dataset   93.1 meV/atom

Unit cell a=5.601 b=11.241 c=5.662 alpha=90.00 beta=90.00 gamma=90.00
Space group Cmmm (No. 65)
Symmetry-distinct sites (fractional):
Dy1 0.000 0.000 0.000
Dy2 0.000 0.160 0.500
Dy3 0.000 0.339 0.000
Tl1 0.000 0.500 0.500

---

11.
This record from Alexandria describes a geometry-optimized UFe5Si2Ni5 structure. The functional is PBE.

Calculated values
Formation energy without anion corrections   -1.6 eV per formula unit

Unit cell a=4.834 b=6.241 c=6.298 alpha=84.01 beta=67.49 gamma=68.50
Space group P-1 (No. 2)
Symmetry-distinct sites (fractional):
U1 0.000 0.000 0.000
Fe1 0.281 0.225 0.222
Fe2 0.498 0.776 0.222
Fe3 0.500 0.500 0.000
Si1 0.007 0.351 0.646
Ni1 0.000 0.000 0.500
Ni2 0.000 0.500 0.000
Ni3 0.329 0.657 0.659
Ni4 0.500 0.000 0.500

---

12.
This record from Alexandria describes a geometry-optimized SrAcEuLu structure. The functional is PBE.

Calculated values
ΔH_f (0 K)   0.175 eV/atom

Unit cell a=8.707 b=8.707 c=8.707 alpha=90.00 beta=90.00 gamma=90.00
Space group F-43m (No. 216)
Symmetry-distinct sites (fractional):
Sr1 0.000 0.000 0.000
Ac1 0.250 0.250 0.250
Eu1 0.250 0.250 0.750
Lu1 0.000 0.000 0.500

---

13.
This record from Alexandria describes a geometry-optimized Zr5P structure. The functional is PBE.

Calculated values
ΔH_f (0 K)   -0.171 eV/atom
Energy above the most stable polymorph in this dataset   228.0 meV/atom

Unit cell a=5.4568 b=5.4568 c=4.9147 alpha=90.00 beta=90.00 gamma=120.00
Space group P-62m (No. 189)
Symmetry-distinct sites (fractional):
Zr1 0.0000 0.6911 0.0000
Zr2 0.3333 0.6667 0.5000
P1 0.0000 0.0000 0.5000

---

14.
This record from Alexandria describes a geometry-optimized Ca2In13 structure. The functional is PBE.

Calculated values
ΔH_f (0 K)   -0.052 eV/atom

Unit cell a=8.7273 b=8.7273 c=20.7502 alpha=90.00 beta=90.00 gamma=120.00
Space group R-3m (No. 166, hexagonal axes)
Symmetry-distinct sites (fractional):
Ca1 0.0000 0.0000 0.2417
In1 0.0000 0.0000 0.5000
In2 0.0823 0.5411 0.2981
In3 0.0968 0.5484 0.5631

---

15.
This record from Alexandria describes a geometry-optimized ZrAsPt2 structure. The functional is PBE.

Calculated values
ΔH_f (0 K)   -0.243 eV/atom

Unit cell a=3.0175 b=3.0175 c=26.6212 alpha=90.00 beta=90.00 gamma=120.00
Space group R3m (No. 160, hexagonal axes)
Symmetry-distinct sites (fractional):
Zr1 0.0000 0.0000 0.0000
As1 0.0000 0.0000 0.2462
Pt1 0.0000 0.0000 0.5056
Pt2 0.0000 0.0000 0.7518

---

16.
This record from Alexandria describes a geometry-optimized MgTi2Pb2 structure. The functional is PBE.

Calculated values
ΔH_f (0 K)   0.120 eV/atom
Energy above the most stable polymorph in this dataset   0.0 meV/atom

Unit cell a=8.255 b=8.255 c=3.289 alpha=90.00 beta=90.00 gamma=90.00
Space group P4/mbm (No. 127)
Symmetry-distinct sites (fractional):
Mg1 0.000 0.000 0.000
Ti1 0.126 0.374 0.500
Pb1 0.168 0.668 0.000

---

17.
This record from Alexandria describes a geometry-optimized LaTl2Pt structure. The functional is PBE.

Calculated values
ΔH_f (0 K)   -0.454 eV/atom

Unit cell a=4.833 b=4.897 c=4.843 alpha=90.00 beta=108.04 gamma=90.00
Space group P2/m (No. 10)
Symmetry-distinct sites (fractional):
La1 0.000 0.000 0.000
Tl1 0.307 0.500 0.693
Pt1 0.500 0.000 0.500

---

18.
This record from Alexandria describes a geometry-optimized TePAu structure. The functional is PBE.

Calculated values
Formation energy without anion corrections   1.5 eV per formula unit
Energy above the most stable polymorph in this dataset   505.5 meV/atom

Unit cell a=6.577 b=6.577 c=6.577 alpha=90.00 beta=90.00 gamma=90.00
Space group F-43m (No. 216)
Symmetry-distinct sites (fractional):
Te1 0.000 0.000 0.000
P1 0.250 0.250 0.750
Au1 0.000 0.000 0.500

---

19.
This record from Alexandria describes a geometry-optimized Pu2TcOs3 structure. The functional is PBE.

Calculated values
ΔH_f (0 K)   -0.062 eV/atom

Unit cell a=8.912 b=5.474 c=5.240 alpha=90.00 beta=122.13 gamma=90.00
Space group C2/m (No. 12)
Symmetry-distinct sites (fractional):
Pu1 0.122 0.000 0.377
Tc1 0.000 0.500 0.000
Os1 0.000 0.500 0.500
Os2 0.250 0.250 0.000

---

20.
This record from Alexandria describes a geometry-optimized ZnBP2H4NO8 structure. The functional is PBE.

Calculated values
VASP energy   -217.87 eV for the cell shown

Unit cell a=7.522 b=7.742 c=7.913 alpha=61.01 beta=76.99 gamma=65.23
Space group P-1 (No. 2)
Symmetry-distinct sites (fractional):
Zn1 0.193 0.253 0.454
B1 0.302 0.917 0.004
P1 0.024 0.729 0.167
P2 0.463 0.912 0.298
H1 0.149 0.568 0.769
H2 0.258 0.748 0.619
H3 0.266 0.651 0.859
H4 0.395 0.490 0.749
N1 0.267 0.614 0.749
O1 0.005 0.781 0.333
O2 0.054 0.499 0.223
O3 0.159 0.130 0.967
O4 0.210 0.768 0.034
O5 0.277 0.011 0.396
O6 0.390 0.283 0.553
O7 0.415 0.825 0.177
O8 0.444 0.915 0.839

---

| no. | V (Å³ per atom) | density of states at the Fermi level (states/eV/cell) | M_tot (μB/cell) |
| --- | --- | --- | --- |
| 1 | 12.93 | 11.9 | 8.0 |
| 2 | 22.88 | 11.1 | 0.0 |
| 3 | 27.03 | 11.8 | 0.0 |
| 4 | 11.42 | 8.3 | 17.3 |
| 5 | 30.16 | 62.8 | 20.4 |
| 6 | 19.25 | 9.6 | 0.0 |
| 7 | 22.16 | 6.8 | 0.0 |
| 8 | 22.67 | 2.2 | 0.0 |
| 9 | 23.98 | 1.2 | 0.0 |
| 10 | 29.71 | 17.5 | 0.0 |
| 11 | 12.55 | 16.8 | 11.2 |
| 12 | 41.26 | 22.6 | 29.5 |
| 13 | 21.12 | 5.2 | 0.0 |
| 14 | 30.42 | 22.1 | 0.0 |
| 15 | 17.49 | 10.6 | 0.0 |
| 16 | 22.41 | 11.5 | 0.0 |
| 17 | 27.25 | 2.1 | 0.0 |
| 18 | 23.71 | 5.5 | 0.0 |
| 19 | 18.04 | 33.5 | 17.3 |
| 20 | 10.76 | 0.0 | 0.0 |